Compound: ScMnOs
Source: Alexandria via LeMat-Bulk
Functional: PBE-GGA
Structure: optimized geometry

The formation energy comes out at 0.909 eV/atom. The energy above the lowest structure with this stoichiometry comes out at 1240 meV per atom. Its spin magnetization is 1.358 μB/atom.

The space group is F-43m (No. 216) and the conventional cell measures 6.114, 6.114 and 6.114 Å, with angles of 90.00, 90.00 and 90.00 degrees. The distinct sites, in fractional coordinates, are Sc at (0.000, 0.000, 0.000), Mn at (0.250, 0.250, 0.250) and Os at (0.250, 0.250, 0.750).